LuTlFeTc | PBE | optimized geometry

Values from the calculation:
The spin magnetization is 14.115 Bohr magnetons per cell. The value obtained for the distance to the lowest polymorph of the same formula is 17 meV per atom. Its crystal system is cubic.

abc: 6.6716 6.6716 6.6716
angles: 90.00 90.00 90.00
Last column: nearest neighbours and their distance in Å.
Space group F-43m (No. 216)
Inequivalent atoms, fractional coordinates:
Lu (0.0000, 0.0000, 0.0000) (multiplicity 4)  4 Tl 2.89, 4 Tc 2.89
Tl (0.2500, 0.2500, 0.2500) (multiplicity 4)  4 Fe 2.89, 4 Lu 2.89
Fe (0.0000, 0.0000, 0.5000) (multiplicity 4)  4 Tl 2.89, 4 Tc 2.89
Tc (0.2500, 0.2500, 0.7500) (multiplicity 4)  4 Fe 2.89, 4 Lu 2.89